Ac4BiIr2: relaxed, PBE.

Symmetry: No. 63
Volume (Å³/f.u.): 243
Calculated formation energy (eV/atom): -0.714
Uncorrected energy (eV per atom): -6.15

Unit cell a=4.501 b=7.639 c=14.781 alpha=90.00 beta=90.00 gamma=107.13
Fractional positions:
Ir1 0.869 0.738 0.561
Ir2 0.869 0.738 0.939
Ir3 0.131 0.262 0.439
Ir4 0.131 0.262 0.061
Ac1 0.500 0.000 0.000
Ac2 0.235 0.470 0.609
Ac3 0.500 0.000 0.500
Ac4 0.235 0.470 0.891
Ac5 0.065 0.130 0.250
Ac6 0.765 0.530 0.391
Ac7 0.935 0.870 0.750
Ac8 0.765 0.530 0.109
Bi1 0.609 0.218 0.750
Bi2 0.391 0.782 0.250